Entry 1:
5
Lattice="-3.867 -1.039 0.005 0.608 -2.247 3.258 -3.067 3.723 5.601" Properties=species:S:1:pos:R:3 comment="Hg2SbPd2 (GGA-PBE, optimized geometry)" final_energy_ev_per_atom=-2.843 magnetic_moment_mub_per_cell=0.00 pbc="T T T"
Sb 0.000 0.000 0.000
Hg -1.942 -0.476 2.495
Hg -4.384 0.913 6.369
Pd -4.282 0.521 3.618
Pd -2.044 -0.084 5.245

=====

Entry 2:
12
Lattice="-5.988 -4.953 -0.120 4.586 -5.652 -1.181 0.851 -1.254 9.298" Properties=species:S:1:pos:R:3 comment="NaNpPb2I8 (GGA-PBE, optimized geometry)" final_energy_ev_per_atom=-3.627 magnetic_moment_mub_per_cell=4.00 pbc="T T T"
Na 0.426 -0.627 4.649
Np 0.000 0.000 0.000
Pb -0.069 -6.235 6.263
Pb -0.482 -5.624 1.734
I 2.769 -5.326 1.327
I 0.324 -8.868 8.320
I -3.762 -5.881 1.848
I -3.321 -6.533 6.671
I -0.875 -2.991 -0.322
I 3.211 -5.978 6.149
I -0.083 -8.071 3.693
I -0.468 -3.788 4.305

=====

Entry 3:
18
Lattice="6.638 -0.225 0.000 -2.337 7.417 0.000 0.000 0.000 7.198" Properties=species:S:1:pos:R:3 comment="Dy2Pa3Co4 (GGA-PBE, optimized geometry)" magnetic_moment_mub_per_cell=0.00 formation_enthalpy_0k_ev_per_atom=-0.321 pbc="T T T"
Dy 3.342 1.279 2.338
Dy 4.278 5.800 5.937
Dy 0.959 5.913 4.860
Dy 0.023 1.391 1.261
Pa -1.168 3.708 3.599
Pa 2.151 3.596 0.000
Pa 4.360 1.555 6.035
Pa 3.260 5.524 2.436
Pa -0.059 5.636 1.162
Pa 1.041 1.668 4.761
Co 5.543 0.395 4.023
Co 2.077 6.684 0.424
Co -1.242 6.796 3.175
Co 2.224 0.508 6.774
Co 4.500 3.617 0.868
Co 3.120 3.462 4.467
Co -0.199 3.574 6.330
Co 1.181 3.730 2.731